Compound: MnV2Ga2
Source: Alexandria via LeMat-Bulk
Functional: GGA-PBE
Structure: optimized geometry

## Properties
The energy above the lowest structure with this stoichiometry is 0.109 eV/atom. The total energy comes out at -0.2478 hartree per atom. The value obtained for the magnetic moment is 1.4 μB per formula unit.

Cell lengths 6.5265, 6.5265, 3.3897 Å; angles 90.00, 90.00, 90.00 degrees
Fractional coordinates of all 10 atoms:
Mn: 0.0000 0.0000 0.0000
Ga: 0.1336 0.3664 0.0000
Mn: 0.5000 0.5000 0.0000
V: 0.3306 0.1694 0.5000
Ga: 0.6336 0.1336 0.0000
V: 0.8306 0.3306 0.5000
V: 0.1694 0.6694 0.5000
V: 0.6694 0.8306 0.5000
Ga: 0.3664 0.8664 0.0000
Ga: 0.8664 0.6336 0.0000

Compound: Y2MnSeCl
Source: Alexandria via LeMat-Bulk
Functional: GGA-PBE
Structure: optimized geometry

## Properties
The total energy comes out at -0.2101 hartree per atom. The value obtained for the magnetic moment is 0.0 μB per formula unit. For the raw formation energy, the calculation gives -112 kJ/mol of formula units.

Cell lengths 5.5106, 4.2175, 5.5106 Å; angles 90.00, 90.00, 90.00 degrees
Fractional coordinates of all 5 atoms:
Mn: 0.0000 0.5000 0.0000
Y: 0.0000 0.0000 0.5000
Y: 0.5000 0.0000 0.0000
Cl: 0.5000 0.5000 0.5000
Se: 0.0000 0.0000 0.0000